Compound: FeNiSn3
Source: the Alexandria database
Functional: SCAN
Structure: single point on PBEsol structure

The structure belongs to space group Pm-3m (No. 221); the cell edges are 4.843, 4.843 and 4.843 Å and the angles 90.00°, 90.00° and 90.00°. The distinct sites, in fractional coordinates, are Fe at (0.000, 0.000, 0.000), Ni at (0.500, 0.500, 0.500) and Sn at (0.000, 0.500, 0.500).

As for the energy above the most stable polymorph in this dataset: 0 meV per atom. The energy is -27.7589 eV/atom. For the energy of formation, the calculation gives 654 meV per atom.